Record 1
Pm2Cu15Rh2: relaxed, GGA-PBE.

Energy of formation: -0.144 eV/atom
Magnetic moment: 0.0 Bohr magnetons per cell
N(E_F): 10.3 states/eV per cell
Total energy: -88.39 eV/cell
Crystal system: trigonal
SG: R-3m

Cell: 6.5156 6.5156 6.5156 Å, 83.44 83.44 83.44°
With the nearest neighbours (Å) after each atom.
Element x y z (fractional)
1 Cu 0.0000 0.5000 0.0000  8 Cu 2.46-2.52, 2 Rh 2.62
2 Cu 0.0000 0.2907 0.7093  8 Cu 2.46-2.63
3 Cu 0.0000 0.0000 0.5000  8 Cu 2.46-2.52, 2 Rh 2.62
4 Cu 0.7093 0.0000 0.2907  8 Cu 2.46-2.63
5 Cu 0.2907 0.0000 0.7093  8 Cu 2.46-2.63
6 Cu 0.2907 0.7093 0.0000  8 Cu 2.46-2.63
7 Cu 0.3498 0.3498 0.8472  8 Cu 2.52-2.63, 1 Rh 2.70
8 Cu 0.7093 0.2907 0.0000  8 Cu 2.46-2.63
9 Cu 0.1528 0.6502 0.6502  8 Cu 2.52-2.63, 1 Rh 2.70
10 Cu 0.3498 0.8472 0.3498  8 Cu 2.52-2.63, 1 Rh 2.70
11 Cu 0.6502 0.6502 0.1528  8 Cu 2.52-2.63, 1 Rh 2.70
12 Cu 0.8472 0.3498 0.3498  8 Cu 2.52-2.63, 1 Rh 2.70
13 Cu 0.0000 0.7093 0.2907  8 Cu 2.46-2.63
14 Cu 0.6502 0.1528 0.6502  8 Cu 2.52-2.63, 1 Rh 2.70
15 Cu 0.5000 0.0000 0.0000  8 Cu 2.46-2.52, 2 Rh 2.62
16 Pm 0.6657 0.6657 0.6657  1 Rh 2.87, 12 Cu 3.09-3.15
17 Pm 0.3343 0.3343 0.3343  1 Rh 2.87, 12 Cu 3.09-3.15
18 Rh 0.1047 0.1047 0.1047  1 Rh 2.62, 12 Cu 2.62-2.84, 1 Pm 2.87
19 Rh 0.8953 0.8953 0.8953  1 Rh 2.62, 12 Cu 2.62-2.84, 1 Pm 2.87

***

Record 2
Pm5Cu5Rh2: relaxed, GGA-PBE.

Energy of formation: -0.326 eV/atom
Magnetic moment: 0.0 Bohr magnetons per cell
N(E_F): 8.4 states/eV per cell
Total energy: -62.84 eV/cell
Crystal system: monoclinic
SG: C2/m

Cell: 4.1750 7.8323 8.5855 Å, 87.10 75.93 74.54°
With the nearest neighbours (Å) after each atom.
Element x y z (fractional)
1 Cu 0.2754 0.7885 0.6607  1 Rh 2.57
2 Cu 0.0619 0.7116 0.1647  2 Rh 2.57, 1 Cu 2.59
3 Cu 0.0000 0.0000 0.0000  2 Cu 2.59
4 Cu 0.7246 0.2115 0.3393  1 Rh 2.57
5 Cu 0.9381 0.2884 0.8353  2 Rh 2.57, 1 Cu 2.59
6 Pm 0.3051 0.3069 0.0829  7 Cu 2.94-3.19, 3 Rh 2.99-3.00
7 Pm 0.6949 0.6931 0.9171  7 Cu 2.94-3.19, 3 Rh 2.99-3.00
8 Pm 0.0000 0.5000 0.5000  4 Rh 3.00, 6 Cu 3.24-3.29
9 Pm 0.6209 0.0827 0.6755  5 Cu 2.91-3.05, 1 Rh 2.96
10 Pm 0.3791 0.9173 0.3245  5 Cu 2.91-3.05, 1 Rh 2.96
11 Rh 0.3887 0.4660 0.7565  3 Cu 2.57
12 Rh 0.6113 0.5340 0.2435  3 Cu 2.57

***

Record 3
Pm3Cu2Rh: relaxed, GGA-PBE.

Energy of formation: -0.339 eV/atom
Magnetic moment: 0.0 Bohr magnetons per cell
N(E_F): 23.1 states/eV per cell
Total energy: -127.32 eV/cell
Crystal system: orthorhombic
SG: Pnma

Cell: 4.2359 11.5215 11.8071 Å, 90.00 90.00 90.00°
With the nearest neighbours (Å) after each atom.
Element x y z (fractional)
1 Pm 0.7500 0.9446 0.1182  3 Rh 2.98-3.02, 5 Cu 3.05-3.13
2 Pm 0.2500 0.4446 0.3818  3 Rh 2.98-3.02, 5 Cu 3.05-3.13
3 Pm 0.7500 0.6239 0.9487  1 Rh 2.94, 5 Cu 3.03-3.24
4 Pm 0.7500 0.2965 0.7746  2 Rh 2.90, 4 Cu 3.03-3.18
5 Pm 0.2500 0.7965 0.7254  2 Rh 2.90, 4 Cu 3.03-3.18
6 Pm 0.7500 0.2035 0.2746  2 Rh 2.90, 4 Cu 3.03-3.18
7 Pm 0.2500 0.3761 0.0513  1 Rh 2.94, 5 Cu 3.03-3.24
8 Pm 0.2500 0.7035 0.2254  2 Rh 2.90, 4 Cu 3.03-3.18
9 Pm 0.7500 0.5554 0.6182  3 Rh 2.98-3.02, 5 Cu 3.05-3.13
10 Pm 0.2500 0.1239 0.5513  1 Rh 2.94, 5 Cu 3.03-3.24
11 Pm 0.2500 0.0554 0.8818  3 Rh 2.98-3.02, 5 Cu 3.05-3.13
12 Pm 0.7500 0.8761 0.4487  1 Rh 2.94, 5 Cu 3.03-3.24
13 Cu 0.2500 0.0005 0.3051  1 Rh 2.63
14 Cu 0.7500 0.5005 0.1949  1 Rh 2.63
15 Cu 0.7500 0.3069 0.5109  2 Rh 2.59
16 Cu 0.7500 0.1931 0.0109  2 Rh 2.59
17 Cu 0.2500 0.6931 0.4891  2 Rh 2.59
18 Cu 0.2500 0.4995 0.8051  1 Rh 2.63
19 Cu 0.7500 0.9995 0.6949  1 Rh 2.63
20 Cu 0.2500 0.8069 0.9891  2 Rh 2.59
21 Rh 0.7500 0.8682 0.8773  3 Cu 2.59-2.63, 2 Pm 2.90
22 Rh 0.7500 0.6318 0.3773  3 Cu 2.59-2.63, 2 Pm 2.90
23 Rh 0.2500 0.3682 0.6227  3 Cu 2.59-2.63, 2 Pm 2.90
24 Rh 0.2500 0.1318 0.1227  3 Cu 2.59-2.63, 2 Pm 2.90